## Ba2SrV2O8 (GGA+U)

Data for an optimized crystal structure of Ba2SrV2O8.

Calculated values
* calculated density: 4.7 g/cm³
* total moment: 0.0 μB/f.u.
* E_tot: -7.200 eV/atom
* DOS(E_F): 0.00 states/eV/cell

a b c (Å): 7.814 7.814 7.814
angles (deg): 43.83 43.83 43.83
Sites, in units of the cell vectors:
Ba: 0.000 0.000 0.000
Ba: 0.204 0.204 0.204
Sr: 0.409 0.409 0.409
V: 0.612 0.612 0.612
V: 0.795 0.795 0.795
O: 0.442 0.932 0.932
O: 0.478 0.478 0.965
O: 0.478 0.965 0.478
O: 0.529 0.529 0.529
O: 0.877 0.877 0.877
O: 0.932 0.442 0.932
O: 0.932 0.932 0.442
O: 0.965 0.478 0.478